Compound: CrInCuF6
Source: Alexandria via LeMat-Bulk
Functional: PBE with a Hubbard U
Structure: relaxed

Geometry as POSCAR:
```
CrInCuF6
1.0
5.668 0.000 0.000
-2.834 4.909 0.000
0.000 0.000 8.862
Cr In Cu F
2 2 2 12
Cartesian
0.000 3.273 2.216
2.834 1.636 6.647
2.834 1.636 2.216
0.000 3.273 6.647
0.000 0.000 0.000
0.000 0.000 4.431
1.649 3.362 1.121
-0.747 1.800 1.121
1.932 0.253 5.552
3.582 3.109 7.742
0.747 1.800 3.310
-1.649 3.362 3.310
3.736 0.253 7.742
0.902 4.656 3.310
4.484 1.547 5.552
-0.902 4.656 1.121
2.087 3.109 5.552
1.185 1.547 7.742
```

Properties
- Symmetry: P-31c, No. 163
- VASP energy: -0.3589 Ry per atom
- DOS(E_F): 0.2649 states/eV/atom
- Volume: 13.70 Å³/atom